First-principles (GGA-PBE) data for an optimized crystal structure of TlTeAu, as listed in Alexandria.

Symmetry   P2_12_12_1

Unit cell a=4.6078 b=7.7868 c=10.8813 alpha=90.00 beta=90.00 gamma=90.00
Fractional coordinates of all 12 atoms:
Au1 0.2632 0.8556 0.9937
Au2 0.7632 0.6444 0.0063
Au3 0.7368 0.3556 0.5063
Au4 0.2368 0.1444 0.4937
Tl1 0.7613 0.3242 0.2244
Tl2 0.2613 0.1758 0.7756
Tl3 0.2387 0.8242 0.2756
Tl4 0.7387 0.6758 0.7244
Te1 0.7620 0.0479 0.9873
Te2 0.2620 0.4521 0.0127
Te3 0.2380 0.5479 0.5127
Te4 0.7380 0.9521 0.4873


First-principles (GGA-PBE) data for an optimized crystal structure of VCoSbW2, as listed in Alexandria.

Symmetry   P4/mmm

Unit cell a=4.6453 b=4.2056 c=4.6453 alpha=90.00 beta=90.00 gamma=90.00
Fractional coordinates of all 5 atoms:
Sb1 0.5000 0.5000 0.5000
Co1 0.0000 0.5000 0.0000
W1 0.0000 0.0000 0.5000
W2 0.5000 0.0000 0.0000
V1 0.0000 0.0000 0.0000


First-principles (GGA-PBE) data for an optimized crystal structure of CuTc2GeP, as listed in Alexandria.

ΔH_f (0 K)   437.4 kJ/mol of formula units
Symmetry   P4/mmm

Unit cell a=4.4050 b=4.6895 c=4.4050 alpha=90.00 beta=90.00 gamma=90.00
Fractional coordinates of all 5 atoms:
P1 0.0000 0.0000 0.0000
Ge1 0.0000 0.5000 0.0000
Tc1 0.0000 0.0000 0.5000
Tc2 0.5000 0.0000 0.0000
Cu1 0.5000 0.5000 0.5000


First-principles (GGA-PBE) data for an optimized crystal structure of MnSbRh2, as listed in Alexandria.

Symmetry   Pmm2

Unit cell a=3.1277 b=3.8970 c=5.3914 alpha=90.00 beta=90.00 gamma=90.00
Fractional coordinates of all 4 atoms:
Mn1 0.5000 0.5000 0.7958
Rh1 0.0000 0.0000 0.9575
Rh2 0.5000 0.5000 0.2790
Sb1 0.0000 0.0000 0.4677


First-principles (GGA-PBE) data for an optimized crystal structure of Ac2ZnGe3, as listed in Alexandria.

ΔH_f (0 K)   -363.1 kJ/mol of formula units
Symmetry   Fmmm

Unit cell a=6.3444 b=6.3444 c=8.8707 alpha=111.56 beta=111.56 gamma=88.42
Fractional coordinates of all 12 atoms:
Ac1 0.2500 0.7500 0.5000
Ac2 0.7579 0.7579 0.0000
Ac3 0.7500 0.2500 0.5000
Ac4 0.2421 0.2421 0.0000
Zn1 0.3338 0.3338 0.6675
Zn2 0.6662 0.6662 0.3325
Ge1 0.6574 0.1739 0.8313
Ge2 0.8261 0.3426 0.1687
Ge3 0.3426 0.8261 0.1687
Ge4 0.1739 0.6574 0.8313
Ge5 0.8305 0.8305 0.6610
Ge6 0.1695 0.1695 0.3389


First-principles (GGA-PBE) data for an optimized crystal structure of GaAgS3, as listed in Alexandria.

Symmetry   Pm-3m

Unit cell a=4.8935 b=4.8935 c=4.8935 alpha=90.00 beta=90.00 gamma=90.00
Fractional coordinates of all 5 atoms:
S1 0.0000 0.5000 0.0000
S2 0.0000 0.0000 0.5000
S3 0.5000 0.0000 0.0000
Ga1 0.5000 0.5000 0.5000
Ag1 0.0000 0.0000 0.0000


First-principles (GGA-PBE) data for an optimized crystal structure of PmInSb, as listed in Alexandria.

Symmetry   P3m1

Unit cell a=4.0250 b=5.0046 c=5.0046 alpha=120.00 beta=90.00 gamma=90.00
Fractional coordinates of all 3 atoms:
Sb1 0.7788 0.3333 0.6667
In1 0.8983 0.0000 0.0000
Pm1 0.3228 0.6667 0.3333


First-principles (GGA-PBE) data for an optimized crystal structure of TaAlAu2, as listed in Alexandria.

ΔH_f (0 K)   -91.5 kJ/mol of formula units
Symmetry   P4mm

Unit cell a=2.9795 b=2.9795 c=7.7150 alpha=90.00 beta=90.00 gamma=90.00
Fractional coordinates of all 4 atoms:
Au1 0.0000 0.0000 0.9740
Au2 0.5000 0.5000 0.2582
Al1 0.5000 0.5000 0.7557
Ta1 0.0000 0.0000 0.5121


Number 1: uncorrected energy -37.0 eV for the cell shown. Number 2: uncorrected energy -39.0 eV for the cell shown. Number 3: uncorrected energy -30.3 eV for the cell shown. Number 4: uncorrected energy -28.5 eV for the cell shown. Number 5: uncorrected energy -54.2 eV for the cell shown. Number 6: uncorrected energy -15.0 eV for the cell shown. Number 7: uncorrected energy -12.9 eV for the cell shown. Number 8: uncorrected energy -23.1 eV for the cell shown.